Here is a geometry-optimized Mg4Ni structure from the Open Quantum Materials Database. Energies are from PBE.

a b c (Å): 5.6524 9.3511 7.1862
angles (deg): 90.00 100.11 90.00
With the nearest neighbours (Å) after each atom.
Positions (direct):
Mg1 0.0490 0.2500 0.4879  1 Ni 2.62
Mg2 0.1418 0.0163 0.1960  2 Ni 2.67, 1 Mg 2.98
Mg3 0.1418 0.4837 0.1960  2 Ni 2.67, 1 Mg 2.98
Mg4 0.2293 0.2500 0.9220  3 Ni 2.70-2.80, 1 Mg 2.92
Mg5 0.2576 0.7500 0.9200  3 Ni 2.67-2.72, 2 Mg 2.92-2.99
Mg6 0.3212 0.5181 0.6378  2 Ni 2.63-2.66
Mg7 0.3212 0.9819 0.6378  2 Ni 2.63-2.66
Mg8 0.3999 0.7500 0.3407  1 Ni 2.64, 2 Mg 2.95
Mg9 0.6001 0.2500 0.6593  1 Ni 2.64, 2 Mg 2.95
Mg10 0.6788 0.0181 0.3622  2 Ni 2.63-2.66
Mg11 0.6788 0.4819 0.3622  2 Ni 2.63-2.66
Mg12 0.7424 0.2500 0.0800  3 Ni 2.67-2.72, 2 Mg 2.92-2.99
Mg13 0.7707 0.7500 0.0780  3 Ni 2.70-2.80, 1 Mg 2.92
Mg14 0.8582 0.5163 0.8040  2 Ni 2.67, 1 Mg 2.98
Mg15 0.8582 0.9837 0.8040  2 Ni 2.67, 1 Mg 2.98
Mg16 0.9510 0.7500 0.5121  1 Ni 2.62
Ni1 0.4045 0.2500 0.2972  8 Mg 2.62-2.70
Ni2 0.5000 0.0000 0.0000  8 Mg 2.63-2.80
Ni3 0.5000 0.5000 0.0000  8 Mg 2.63-2.80
Ni4 0.5955 0.7500 0.7028  8 Mg 2.62-2.70

Properties
The uncorrected energy comes out at -2.420 eV/atom. The size of the total moment comes out at 0.002 μB/f.u. As for the symmetry: P2_1/m (11).